## a
# MnTlRe2 | the Alexandria database | GGA-PBEsol | optimized geometry
data_MnTlRe2
_space_group_name_H-M_alt 'P 1'
_space_group_IT_number 1
_cell_length_a 3.8414
_cell_length_b 3.8414
_cell_length_c 4.9438
_cell_angle_alpha 112.86
_cell_angle_beta 112.86
_cell_angle_gamma 90.00
loop_
_space_group_symop_operation_xyz
'x,y,z'
loop_
_atom_site_label
_atom_site_fract_x
_atom_site_fract_y
_atom_site_fract_z
Mn1 0.5000 0.5000 0.0000
Re1 0.7500 0.2500 0.5000
Re2 0.2500 0.7500 0.5000
Tl1 0.0000 0.0000 0.0000
# N(E_F), states/eV/atom: 0.75
# Space group: I4/mmm, No. 139
# Total moment, μB per formula unit: 1.62



## b
# MnTlRe2 | the Alexandria database | GGA-PBEsol | optimized geometry
data_MnTlRe2
_space_group_name_H-M_alt 'P 1'
_space_group_IT_number 1
_cell_length_a 2.7624
_cell_length_b 3.7560
_cell_length_c 6.0759
_cell_angle_alpha 90.00
_cell_angle_beta 90.00
_cell_angle_gamma 90.00
loop_
_space_group_symop_operation_xyz
'x,y,z'
loop_
_atom_site_label
_atom_site_fract_x
_atom_site_fract_y
_atom_site_fract_z
Mn1 0.5000 0.5000 0.5000
Re1 0.0000 0.0000 0.6961
Re2 0.0000 0.0000 0.3039
Tl1 0.5000 0.5000 0.0000
# N(E_F), states/eV/atom: 0.85
# Space group: Pmmm, No. 47
# Total moment, μB per formula unit: 1.17



Most stable: b



## a
# Mn2TlRe | the Alexandria database | GGA-PBEsol | optimized geometry
data_Mn2TlRe
_space_group_name_H-M_alt 'P 1'
_space_group_IT_number 1
_cell_length_a 2.9057
_cell_length_b 2.9057
_cell_length_c 8.7184
_cell_angle_alpha 80.41
_cell_angle_beta 80.41
_cell_angle_gamma 60.00
loop_
_space_group_symop_operation_xyz
'x,y,z'
loop_
_atom_site_label
_atom_site_fract_x
_atom_site_fract_y
_atom_site_fract_z
Mn1 0.2421 0.2421 0.2737
Mn2 0.7579 0.7579 0.7263
Re1 0.5000 0.5000 0.5000
Tl1 0.0000 0.0000 0.0000
# N(E_F), states/eV/atom: 0.91
# Space group: R-3m, No. 166
# Total moment, μB per formula unit: 5.57



## b
# Mn2TlRe | the Alexandria database | GGA-PBEsol | optimized geometry
data_Mn2TlRe
_space_group_name_H-M_alt 'P 1'
_space_group_IT_number 1
_cell_length_a 2.8434
_cell_length_b 4.6082
_cell_length_c 4.6082
_cell_angle_alpha 105.88
_cell_angle_beta 90.00
_cell_angle_gamma 90.00
loop_
_space_group_symop_operation_xyz
'x,y,z'
loop_
_atom_site_label
_atom_site_fract_x
_atom_site_fract_y
_atom_site_fract_z
Mn1 0.0000 0.5000 0.0000
Mn2 0.0000 0.0000 0.5000
Re1 0.5000 0.0000 0.0000
Tl1 0.5000 0.5000 0.5000
# N(E_F), states/eV/atom: 0.89
# Space group: Cmmm, No. 65
# Total moment, μB per formula unit: 4.28



## c
# Mn2TlRe | the Alexandria database | GGA-PBEsol | optimized geometry
data_Mn2TlRe
_space_group_name_H-M_alt 'P 1'
_space_group_IT_number 1
_cell_length_a 4.3837
_cell_length_b 4.3837
_cell_length_c 4.3837
_cell_angle_alpha 60.00
_cell_angle_beta 60.00
_cell_angle_gamma 60.00
loop_
_space_group_symop_operation_xyz
'x,y,z'
loop_
_atom_site_label
_atom_site_fract_x
_atom_site_fract_y
_atom_site_fract_z
Mn1 0.0000 0.0000 0.0000
Mn2 0.7500 0.7500 0.7500
Re1 0.5000 0.5000 0.5000
Tl1 0.2500 0.2500 0.2500
# N(E_F), states/eV/atom: 0.96
# Space group: F-43m, No. 216
# Total moment, μB per formula unit: 4.52



Most stable: a



## a
# MnTlRe | the Alexandria database | GGA-PBEsol | optimized geometry
data_MnTlRe
_space_group_name_H-M_alt 'P 1'
_space_group_IT_number 1
_cell_length_a 2.8513
_cell_length_b 2.8513
_cell_length_c 6.8740
_cell_angle_alpha 97.08
_cell_angle_beta 97.08
_cell_angle_gamma 113.91
loop_
_space_group_symop_operation_xyz
'x,y,z'
loop_
_atom_site_label
_atom_site_fract_x
_atom_site_fract_y
_atom_site_fract_z
Mn1 0.0129 0.0129 0.0259
Re1 0.6494 0.6494 0.2988
Tl1 0.3376 0.3376 0.6753
# N(E_F), states/eV/atom: 0.82
# Space group: Fmm2, No. 42
# Total moment, μB per formula unit: 2.40



## b
# MnTlRe | the Alexandria database | GGA-PBEsol | optimized geometry
data_MnTlRe
_space_group_name_H-M_alt 'P 1'
_space_group_IT_number 1
_cell_length_a 4.3317
_cell_length_b 4.3317
_cell_length_c 4.3317
_cell_angle_alpha 60.00
_cell_angle_beta 60.00
_cell_angle_gamma 60.00
loop_
_space_group_symop_operation_xyz
'x,y,z'
loop_
_atom_site_label
_atom_site_fract_x
_atom_site_fract_y
_atom_site_fract_z
Mn1 0.5000 0.5000 0.5000
Re1 0.7500 0.7500 0.7500
Tl1 0.0000 0.0000 0.0000
# N(E_F), states/eV/atom: 1.16
# Space group: F-43m, No. 216
# Total moment, μB per formula unit: 1.74



Most stable: a



## a
# MnZnRe | the Alexandria database | GGA-PBEsol | optimized geometry
data_MnZnRe
_space_group_name_H-M_alt 'P 1'
_space_group_IT_number 1
_cell_length_a 3.9684
_cell_length_b 3.9684
_cell_length_c 3.9684
_cell_angle_alpha 60.00
_cell_angle_beta 60.00
_cell_angle_gamma 60.00
loop_
_space_group_symop_operation_xyz
'x,y,z'
loop_
_atom_site_label
_atom_site_fract_x
_atom_site_fract_y
_atom_site_fract_z
Mn1 0.2500 0.2500 0.2500
Re1 0.0000 0.0000 0.0000
Zn1 0.5000 0.5000 0.5000
# N(E_F), states/eV/atom: 0.60
# Space group: F-43m, No. 216
# Total moment, μB per formula unit: 1.68



## b
# MnZnRe | the Alexandria database | GGA-PBEsol | optimized geometry
data_MnZnRe
_space_group_name_H-M_alt 'P 1'
_space_group_IT_number 1
_cell_length_a 2.5924
_cell_length_b 4.1528
_cell_length_c 4.1528
_cell_angle_alpha 120.00
_cell_angle_beta 90.00
_cell_angle_gamma 90.00
loop_
_space_group_symop_operation_xyz
'x,y,z'
loop_
_atom_site_label
_atom_site_fract_x
_atom_site_fract_y
_atom_site_fract_z
Mn1 0.9927 0.0000 0.0000
Re1 0.7232 0.3333 0.6667
Zn1 0.2842 0.6667 0.3333
# N(E_F), states/eV/atom: 0.45
# Space group: P3m1, No. 156
# Total moment, μB per formula unit: 1.32



Most stable: b